A geometry-optimized Ce2Pm4Sn3 structure. Source: Alexandria, functional PBE.

Properties
Energy of formation = -47 kJ/mol of atoms
M_tot = 2.25 μB/f.u.
Calculated total energy = -94.45 eV per cell

Lattice parameters (Å, degrees): 16.144 4.325 8.284 90.00 114.18 90.00
Space group C2/m (No. 12)
Asymmetric unit:
Ce (0.160, 0.000, 0.478) x4
Pm (0.038, 0.000, 0.830) x4
Pm (0.214, 0.500, 0.824) x4
Sn (0.000, 0.500, 0.500) x2
Sn (0.131, 0.500, 0.160) x4


A geometry-optimized Y2GeBr structure. Source: Alexandria, functional PBE.

Properties
E above lowest polymorph = 513 meV/atom
M_tot = 0.00 μB/f.u.
Calculated total energy = -86.22 eV per cell

Lattice parameters (Å, degrees): 6.383 6.383 13.532 90.00 90.00 90.00
Space group I-42d (No. 122)
Asymmetric unit:
Y (0.225, 0.250, 0.125) x8
Ge (0.000, 0.000, 0.000) x4
Br (0.000, 0.000, 0.500) x4


A geometry-optimized Nd6CdPd2 structure. Source: Alexandria, functional PBE.

Properties
Energy of formation = -40 kJ/mol of atoms
M_tot = 0.00 μB/f.u.
Calculated total energy = -174.73 eV per cell

Lattice parameters (Å, degrees): 9.718 10.132 10.780 90.00 90.00 90.00
Space group Immm (No. 71)
Asymmetric unit:
Nd (0.000, 0.194, 0.238) x8
Nd (0.198, 0.500, 0.174) x8
Nd (0.212, 0.319, 0.500) x8
Cd (0.000, 0.000, 0.000) x2
Cd (0.000, 0.000, 0.500) x2
Pd (0.000, 0.347, 0.000) x4
Pd (0.000, 0.500, 0.371) x4


A geometry-optimized BaTaCd2 structure. Source: Alexandria, functional PBE.

Properties
E above lowest polymorph = 511 meV/atom
Energy of formation = 80 kJ/mol of atoms
M_tot = 3.02 μB/f.u.
Calculated total energy = -49.14 eV per cell

Lattice parameters (Å, degrees): 5.291 5.291 20.212 90.00 90.00 90.00
Space group I-42d (No. 122)
Asymmetric unit:
Ba (0.000, 0.000, 0.000) x4
Ta (0.000, 0.000, 0.500) x4
Cd (0.087, 0.250, 0.625) x8


A geometry-optimized TbPrDy14 structure. Source: Alexandria, functional PBE.

Properties
Energy of formation = 0 kJ/mol of atoms
M_tot = 0.00 μB/f.u.
Calculated total energy = -147.54 eV per cell

Lattice parameters (Å, degrees): 11.485 7.137 12.358 90.00 90.00 90.00
Space group Amm2 (No. 38)
Asymmetric unit:
Tb (0.000, 0.000, 0.000) x2
Pr (0.000, 0.000, 0.500) x2
Dy (0.000, 0.250, 0.250) x4
Dy (0.250, 0.000, 0.167) x4
Dy (0.252, 0.000, 0.667) x4
Dy (0.252, 0.250, 0.417) x8
Dy (0.500, 0.000, 0.333) x2
Dy (0.500, 0.000, 0.834) x2
Dy (0.500, 0.250, 0.084) x4


A geometry-optimized HgAsIr2 structure. Source: Alexandria, functional PBE.

Properties
E above lowest polymorph = 355 meV/atom
Energy of formation = 56 kJ/mol of atoms
M_tot = 0.00 μB/f.u.
Calculated total energy = -20.33 eV per cell

Lattice parameters (Å, degrees): 2.938 4.604 5.023 90.00 90.00 90.00
Space group Pmmm (No. 47)
Asymmetric unit:
Hg (0.000, 0.000, 0.000) x1
As (0.500, 0.000, 0.500) x1
Ir (0.000, 0.500, 0.500) x1
Ir (0.500, 0.500, 0.000) x1


A geometry-optimized Pa3Ge2Bi3 structure. Source: Alexandria, functional PBE.

Properties
Energy of formation = -29 kJ/mol of atoms
M_tot = 1.07 μB/f.u.
Calculated total energy = -103.60 eV per cell

Lattice parameters (Å, degrees): 8.9988 8.9988 5.8959 90.00 90.00 120.00
Space group P6_3/mcm (No. 193)
Asymmetric unit:
Pa (0.0000, 0.4080, 0.2500) x6
Ge (0.3333, 0.6667, 0.0000) x4
Bi (0.0000, 0.2354, 0.7500) x6


A geometry-optimized Ba2TbSb2S6 structure. Source: Alexandria, functional PBE.

Properties
M_tot = 0.00 μB/f.u.
Calculated total energy = -108.85 eV per cell

Lattice parameters (Å, degrees): 13.946 7.345 7.860 90.00 121.83 90.00
Space group C2/m (No. 12)
Asymmetric unit:
Ba (0.234, 0.000, 0.207) x4
Tb (0.000, 0.000, 0.500) x2
Sb (0.043, 0.500, 0.214) x4
S (0.083, 0.248, 0.813) x8
S (0.215, 0.000, 0.587) x4


A geometry-optimized Fe3Co5 structure. Source: Alexandria, functional PBE.

Properties
Energy of formation = 2 kJ/mol of atoms
M_tot = 16.56 μB/f.u.
Calculated total energy = -121.56 eV per cell

Lattice parameters (Å, degrees): 8.958 2.806 8.031 90.00 116.02 90.00
Space group C2/m (No. 12)
Asymmetric unit:
Fe (0.000, 0.000, 0.000) x2
Fe (0.249, 0.000, 0.872) x4
Co (0.000, 0.000, 0.500) x2
Co (0.001, 0.500, 0.751) x4
Co (0.250, 0.000, 0.375) x4


A geometry-optimized ScSnW structure. Source: Alexandria, functional PBE.

Properties
E above lowest polymorph = 0 meV/atom
Energy of formation = -12 kJ/mol of atoms
M_tot = 0.00 μB/f.u.
Calculated total energy = -47.35 eV per cell

Lattice parameters (Å, degrees): 3.290 3.290 11.180 90.00 90.00 90.00
Space group P4mm (No. 99)
Asymmetric unit:
Sc (0.000, 0.000, 0.000) x1
Sc (0.000, 0.000, 0.373) x1
Sn (0.500, 0.500, 0.189) x1
Sn (0.500, 0.500, 0.560) x1
W (0.000, 0.000, 0.722) x1
W (0.500, 0.500, 0.845) x1


A geometry-optimized SrHoZnPt structure. Source: Alexandria, functional PBE.

Properties
Energy of formation = -54 kJ/mol of atoms
M_tot = 0.00 μB/f.u.
Calculated total energy = -63.19 eV per cell

Lattice parameters (Å, degrees): 7.229 7.229 7.229 90.00 90.00 90.00
Space group F-43m (No. 216)
Asymmetric unit:
Sr (0.000, 0.000, 0.000) x4
Ho (0.000, 0.000, 0.500) x4
Zn (0.250, 0.250, 0.250) x4
Pt (0.250, 0.250, 0.750) x4


A geometry-optimized AcLaTb2Pm6 structure. Source: Alexandria, functional PBE.

Properties
Energy of formation = 12 kJ/mol of atoms
M_tot = 0.00 μB/f.u.
Calculated total energy = -182.41 eV per cell

Lattice parameters (Å, degrees): 9.352 15.586 9.895 90.00 96.47 90.00
Space group C2/c (No. 15)
Asymmetric unit:
Ac (0.000, 0.029, 0.250) x4
La (0.000, 0.408, 0.750) x4
Tb (0.249, 0.445, 0.454) x8
Pm (0.067, 0.185, 0.944) x8
Pm (0.100, 0.393, 0.121) x8
Pm (0.209, 0.232, 0.322) x8


A geometry-optimized Li2MnW structure. Source: Alexandria, functional PBE.

Properties
E above lowest polymorph = 768 meV/atom
Energy of formation = 104 kJ/mol of atoms
M_tot = 0.00 μB/f.u.
Calculated total energy = -86.61 eV per cell

Lattice parameters (Å, degrees): 6.770 6.770 4.636 90.00 90.00 90.00
Space group I-42d (No. 122)
Asymmetric unit:
Li (0.228, 0.250, 0.125) x8
Mn (0.000, 0.000, 0.000) x4
W (0.000, 0.000, 0.500) x4


A geometry-optimized CaLa2AsN structure. Source: Alexandria, functional PBE.

Properties
M_tot = 0.01 μB/f.u.
Calculated total energy = -29.84 eV per cell

Lattice parameters (Å, degrees): 5.004 5.004 4.784 90.00 90.00 90.00
Space group P4/mmm (No. 123)
Asymmetric unit:
Ca (0.000, 0.000, 0.000) x1
La (0.000, 0.500, 0.500) x2
As (0.500, 0.500, 0.000) x1
N (0.000, 0.000, 0.500) x1